GGA-PBE La3Bi, relaxed; theoretical density = 7.130 Mg/m³; DOS at the Fermi energy = 10.8 states/eV/cell; space group = P2_1/m (11); crystal system = monoclinic; E_form = -438 meV per atom; final energy = -40.8 eV for the cell shown
1.0
6.848 0.000 0.000
0.000 4.274 0.000
-1.611 0.000 9.959
La Bi
6 2
Direct
0.077 0.250 0.353
0.268 0.750 0.093
0.396 0.750 0.624
0.604 0.250 0.376
0.732 0.250 0.907
0.923 0.750 0.647
0.221 0.250 0.842
0.779 0.750 0.158

GGA-PBE LaBi, relaxed; theoretical density = 8.262 Mg/m³; DOS at the Fermi energy = 0.7 states/eV/cell; space group = P2_1/m (11); crystal system = monoclinic; E_form = -952 meV per atom; final energy = -21.4 eV for the cell shown
1.0
4.421 0.000 0.000
0.000 5.028 0.000
-2.212 0.000 6.290
La Bi
2 2
Direct
0.122 0.250 0.246
0.878 0.750 0.754
0.386 0.250 0.770
0.614 0.750 0.230